First-principles (GGA-PBE) data for a geometry-optimized LiTmThIn structure, as listed in the Alexandria database.

Output
ΔE_f = -0.1148 eV/atom
E_tot = -4.251 eV per atom
DOS at the Fermi energy = 2.7 states/eV/f.u.

abc: 5.303 5.303 5.303
angles: 60.00 60.00 60.00
Positions (direct):
1 Tm 0.250 0.250 0.250
2 Li 0.000 0.000 0.000
3 Th 0.750 0.750 0.750
4 In 0.500 0.500 0.500